The following is a PBE calculation of a geometry-optimized BaCr2Au structure, from the Alexandria database.

Lattice parameters (Å, degrees): 4.163 5.160 5.170 90.00 97.02 90.00
Space group P2/m (No. 10)
Asymmetric unit:
1 Ba 0.000 0.000 0.000
2 Cr 0.343 0.500 0.600
3 Au 0.500 0.000 0.500

Computed properties:
- volume (Å³/cell) = 110.22
- DOS(E_F) (states/eV per cell) = 4.14
- ΔH_f (0 K) (eV/f.u.) = 2.704
- polymorph energy (0 for the lowest one) (kJ per mole of atoms) = 33.3
- spin magnetization (Bohr magnetons per cell) = 0.000